Entry from Alexandria: a relaxed PrLuAlRh crystal (PBE-GGA).

Lattice parameters (Å, degrees): 7.1372 7.1372 7.1372 90.00 90.00 90.00
Last column: nearest neighbours and their distance in Å.
Space group F-43m (No. 216)
Unique sites:
Pr  0.0000  0.0000  0.0000  4 Rh 3.09, 4 Al 3.09
Lu  0.0000  0.0000  0.5000  4 Al 3.09, 4 Rh 3.09
Al  0.2500  0.2500  0.7500  4 Pr 3.09, 4 Lu 3.09
Rh  0.2500  0.2500  0.2500  4 Pr 3.09, 4 Lu 3.09

Computed properties:
final energy: -5.5743 eV per atom
ΔE_f: -0.48 eV/atom